(1)
# PBE-GGA SrZrFeAu2, optimized geometry
data_SrZrFeAu2
_chemical_formula_sum 'Sr1 Zr1 Fe1 Au2'
_symmetry_space_group_name_H-M 'P 4/m m m'
_symmetry_Int_Tables_number 123
_symmetry_space_group_name_Hall '-P 4 2'
_cell_length_a 5.220
_cell_length_b 5.220
_cell_length_c 6.001
_cell_angle_alpha 90.00
_cell_angle_beta 90.00
_cell_angle_gamma 90.00
loop_
_atom_site_label
_atom_site_fract_x
_atom_site_fract_y
_atom_site_fract_z
_atom_site_occupancy
Sr1 0.000 0.000 0.000 1
Zr1 0.000 0.000 0.500 1
Fe1 0.500 0.500 0.000 1
Au1 0.000 0.500 0.500 1
# distance to the lowest polymorph of the same formula	0.000	eV/atom
# ρ	6.38	g cm⁻³


(2)
# PBE-GGA TaFe2Au, optimized geometry
data_TaFe2Au
_chemical_formula_sum 'Ta2 Fe4 Au2'
_symmetry_space_group_name_H-M 'I -4 m 2'
_symmetry_Int_Tables_number 119
_symmetry_space_group_name_Hall 'I -4 -2'
_cell_length_a 3.788
_cell_length_b 3.788
_cell_length_c 8.044
_cell_angle_alpha 90.00
_cell_angle_beta 90.00
_cell_angle_gamma 90.00
loop_
_atom_site_label
_atom_site_fract_x
_atom_site_fract_y
_atom_site_fract_z
_atom_site_occupancy
Ta1 0.000 0.000 0.000 1
Fe1 0.000 0.000 0.500 1
Fe2 0.000 0.500 0.250 1
Au1 0.000 0.500 0.750 1
# distance to the lowest polymorph of the same formula	0.007	eV/atom
# ρ	14.09	g cm⁻³


(3)
# PBE-GGA TaFe2Au, optimized geometry
data_TaFe2Au
_chemical_formula_sum 'Ta1 Fe2 Au1'
_symmetry_space_group_name_H-M 'P 1 2/m 1'
_symmetry_Int_Tables_number 10
_cell_length_a 2.718
_cell_length_b 4.385
_cell_length_c 5.148
_cell_angle_alpha 90.00
_cell_angle_beta 95.51
_cell_angle_gamma 90.00
loop_
_symmetry_equiv_pos_as_xyz
'x,y,z'
'-x,-y,-z'
'-x,y,-z'
'x,-y,z'
loop_
_atom_site_label
_atom_site_fract_x
_atom_site_fract_y
_atom_site_fract_z
_atom_site_occupancy
Ta1 0.000 0.000 0.000 1
Fe1 0.290 0.500 0.778 1
Au1 0.500 0.000 0.500 1
# distance to the lowest polymorph of the same formula	0.168	eV/atom
# ρ	13.31	g cm⁻³


(4)
# PBE-GGA TaFe2Au, optimized geometry
data_TaFe2Au
_chemical_formula_sum 'Ta3 Fe6 Au3'
_symmetry_space_group_name_H-M 'R -3 m'
_symmetry_Int_Tables_number 166
_symmetry_space_group_name_Hall '-R 3 2"'
_cell_length_a 2.8224
_cell_length_b 2.8224
_cell_length_c 26.9970
_cell_angle_alpha 90.00
_cell_angle_beta 90.00
_cell_angle_gamma 120.00
loop_
_atom_site_label
_atom_site_fract_x
_atom_site_fract_y
_atom_site_fract_z
_atom_site_occupancy
Ta1 0.0000 0.0000 0.0000 1
Fe1 0.0000 0.0000 0.2498 1
Au1 0.0000 0.0000 0.5000 1
# distance to the lowest polymorph of the same formula	0.284	eV/atom
# ρ	13.10	g cm⁻³


(5)
# PBE-GGA TaFe2Au, optimized geometry
data_TaFe2Au
_chemical_formula_sum 'Ta2 Fe4 Au2'
_symmetry_space_group_name_H-M 'C m m m'
_symmetry_Int_Tables_number 65
_symmetry_space_group_name_Hall '-C 2 2'
_cell_length_a 3.408
_cell_length_b 4.275
_cell_length_c 8.320
_cell_angle_alpha 90.00
_cell_angle_beta 90.00
_cell_angle_gamma 90.00
loop_
_atom_site_label
_atom_site_fract_x
_atom_site_fract_y
_atom_site_fract_z
_atom_site_occupancy
Ta1 0.000 0.000 0.000 1
Fe1 0.000 0.500 0.247 1
Au1 0.000 0.000 0.500 1
# distance to the lowest polymorph of the same formula	0.131	eV/atom
# ρ	13.41	g cm⁻³


(6)
# PBE-GGA TaFe2Au, optimized geometry
data_TaFe2Au
_chemical_formula_sum 'Ta4 Fe8 Au4'
_symmetry_space_group_name_H-M 'I -4 2 d'
_symmetry_Int_Tables_number 122
_symmetry_space_group_name_Hall 'I -4 2bw'
_cell_length_a 3.854
_cell_length_b 3.854
_cell_length_c 17.248
_cell_angle_alpha 90.00
_cell_angle_beta 90.00
_cell_angle_gamma 90.00
loop_
_atom_site_label
_atom_site_fract_x
_atom_site_fract_y
_atom_site_fract_z
_atom_site_occupancy
Ta1 0.000 0.000 0.000 1
Fe1 0.175 0.250 0.125 1
Au1 0.000 0.000 0.500 1
# distance to the lowest polymorph of the same formula	0.736	eV/atom
# ρ	12.70	g cm⁻³